A plane-wave DFT calculation with PBE with a Hubbard U was carried out for a relaxed NiAuI2O crystal.

Cell: 5.7504 5.7504 3.9735 Å, 90.00 90.00 90.00°
Last column: nearest neighbours and their distance in Å.
Sites, in units of the cell vectors:
Ni  0.0000  0.0000  0.0000  8 I 3.49
Au  0.5000  0.5000  0.5000  2 O 1.99
I  0.0000  0.5000  0.5000  2 Au 2.88
I  0.5000  0.0000  0.5000  2 Au 2.88
O  0.5000  0.5000  0.0000  2 Au 1.99

Results
**Density**: 6.64 g/cm3
**Relative energy among the computed polymorphs**: 240 meV/atom
**Symmetry**: P4/mmm